VASP calculation (PBE) on a geometry-optimized Rb3Li2IO6 structure.

Values from the calculation:
**Formation energy from raw total energies**: -1.195 eV per atom

abc: 5.9199 5.9199 6.4112
angles: 96.69 96.69 121.76
Atoms (fractional coordinates):
Rb 0.1837 0.8163 0.5000
Rb 0.8163 0.1837 0.5000
Rb 0.5000 0.5000 0.5000
Li 0.3053 0.6947 0.0000
Li 0.6947 0.3053 0.0000
I 0.0000 0.0000 0.0000
O 0.9314 0.6579 0.8463
O 0.8140 0.8140 0.2099
O 0.0686 0.3421 0.1537
O 0.6579 0.9314 0.8463
O 0.1860 0.1860 0.7901
O 0.3421 0.0686 0.1537